(1)
# RbFe3P5

A relaxed RbFe3P5 crystal (GGA-PBE, OQMD).

Cell lengths 4.905, 4.905, 8.052 Å; angles 90.00, 90.00, 120.00 degrees
Atoms (fractional coordinates):
Fe1 0.000 0.500 0.500
P1 0.333 0.667 0.274
P2 0.333 0.667 0.726
Fe2 0.500 0.500 0.500
P3 0.667 0.333 0.726
Rb1 0.000 0.000 0.000
P4 0.667 0.333 0.274
Fe3 0.500 0.000 0.500
P5 0.000 0.000 0.500

Properties
The total DFT energy (no corrections) is -54.2 eV/cell. The size of the total moment comes out at 5.58 μB/f.u.

***

(2)
# RbFePS4

A relaxed RbFePS4 crystal (GGA-PBE, OQMD).

Cell lengths 8.398, 8.398, 8.398 Å; angles 121.17, 121.17, 87.98 degrees
Atoms (fractional coordinates):
S1 0.997 0.233 0.500
S2 0.767 0.267 0.764
P1 0.250 0.750 0.500
S3 0.267 0.503 0.500
Fe1 0.000 0.500 0.500
S4 0.503 0.003 0.236
S5 0.733 0.497 0.500
Fe2 0.500 0.000 0.500
S6 0.003 0.767 0.500
S7 0.233 0.733 0.236
Rb1 0.250 0.250 0.000
S8 0.497 0.997 0.764
Rb2 0.750 0.750 0.000
P2 0.750 0.250 0.500

Properties
The total DFT energy (no corrections) is -70.6 eV/cell. The size of the total moment comes out at 2.00 μB/f.u.

***

(3)
# FePS

A relaxed FePS crystal (GGA-PBE, OQMD).

Cell lengths 4.711, 3.081, 5.529 Å; angles 90.00, 91.31, 90.00 degrees
Atoms (fractional coordinates):
P1 0.320 0.000 0.870
S1 0.805 0.500 0.634
S2 0.195 0.500 0.366
Fe1 0.500 0.000 0.500
Fe2 0.000 0.500 0.000
P2 0.680 0.000 0.130

Properties
The total DFT energy (no corrections) is -38.4 eV/cell. The size of the total moment comes out at 0.47 μB/f.u.

***

(4)
# FePS

A relaxed FePS crystal (GGA-PBE, OQMD).

Cell lengths 5.520, 5.494, 5.565 Å; angles 90.00, 111.43, 90.00 degrees
Atoms (fractional coordinates):
Fe1 0.723 0.000 0.207
S1 0.340 0.372 0.684
P1 0.853 0.373 0.126
S2 0.660 0.872 0.816
S3 0.660 0.628 0.316
P2 0.853 0.127 0.626
S4 0.340 0.128 0.184
Fe2 0.723 0.500 0.707
Fe3 0.277 0.000 0.793
Fe4 0.277 0.500 0.293
P3 0.147 0.627 0.874
P4 0.147 0.873 0.374

Properties
The total DFT energy (no corrections) is -77.8 eV/cell. The size of the total moment comes out at 0.00 μB/f.u.

***

(5)
# FePS

A relaxed FePS crystal (GGA-PBE, OQMD).

Cell lengths 4.747, 3.018, 5.534 Å; angles 90.00, 91.26, 90.00 degrees
Atoms (fractional coordinates):
P1 0.179 0.000 0.630
S1 0.307 0.500 0.134
Fe1 0.500 0.500 0.500
P2 0.821 0.000 0.370
S2 0.693 0.500 0.866
Fe2 0.000 0.000 0.000

Properties
The total DFT energy (no corrections) is -38.4 eV/cell. The size of the total moment comes out at 0.46 μB/f.u.

***

(6)
# FePS

A relaxed FePS crystal (GGA-PBE, OQMD).

Cell lengths 3.025, 5.535, 4.719 Å; angles 90.00, 90.00, 90.00 degrees
Atoms (fractional coordinates):
P1 0.000 0.883 0.181
Fe1 0.000 0.251 0.996
P2 0.500 0.117 0.681
S1 0.500 0.375 0.323
S2 0.000 0.625 0.823
Fe2 0.500 0.749 0.496

Properties
The total DFT energy (no corrections) is -38.6 eV/cell. The size of the total moment comes out at 0.77 μB/f.u.

***

(7)
# FePS3

A relaxed FePS3 crystal (GGA-PBE, OQMD).

Cell lengths 7.583, 7.583, 7.583 Å; angles 45.82, 45.82, 45.82 degrees
Atoms (fractional coordinates):
S1 0.914 0.241 0.577
S2 0.759 0.423 0.086
S3 0.423 0.086 0.759
Fe1 0.833 0.833 0.833
Fe2 0.167 0.167 0.167
S4 0.577 0.914 0.241
S5 0.241 0.577 0.914
P1 0.554 0.554 0.554
P2 0.446 0.446 0.446
S6 0.086 0.759 0.423

Properties
The total DFT energy (no corrections) is -54.6 eV/cell. The size of the total moment comes out at 3.96 μB/f.u.

***

(8)
# FePS4

A relaxed FePS4 crystal (GGA-PBE, OQMD).

Cell lengths 5.684, 5.684, 5.684 Å; angles 118.63, 118.63, 92.39 degrees
Atoms (fractional coordinates):
S1 0.390 0.322 0.487
S2 0.678 0.165 0.068
P1 0.750 0.250 0.500
S3 0.097 0.610 0.932
Fe1 0.000 0.000 0.000
S4 0.835 0.903 0.513

Properties
The total DFT energy (no corrections) is -31.3 eV/cell. The size of the total moment comes out at 3.00 μB/f.u.

***

(9)
# FePS4

A relaxed FePS4 crystal (GGA-PBE, OQMD).

Cell lengths 6.423, 6.423, 6.307 Å; angles 91.99, 91.99, 66.84 degrees
Atoms (fractional coordinates):
S1 0.878 0.388 0.725
Fe1 0.750 0.250 0.000
S2 0.612 0.122 0.275
S3 0.617 0.617 0.137
Fe2 0.250 0.750 0.000
P1 0.706 0.706 0.847
S4 0.099 0.099 0.179
S5 0.122 0.612 0.275
S6 0.383 0.383 0.863
S7 0.388 0.878 0.725
S8 0.901 0.901 0.821
P2 0.294 0.294 0.153

Properties
The total DFT energy (no corrections) is -63.3 eV/cell. The size of the total moment comes out at 1.01 μB/f.u.

***

(10)
# FePS

A relaxed FePS crystal (GGA-PBE, OQMD).

Cell lengths 3.092, 5.531, 4.686 Å; angles 90.00, 90.00, 90.00 degrees
Atoms (fractional coordinates):
S1 0.500 0.626 0.821
S2 0.000 0.374 0.321
P1 0.000 0.117 0.682
Fe1 0.500 0.252 0.996
P2 0.500 0.883 0.182
Fe2 0.000 0.748 0.496

Properties
The total DFT energy (no corrections) is -38.7 eV/cell. The size of the total moment comes out at 0.80 μB/f.u.

***

(11)
# Fe3P2S8

A relaxed Fe3P2S8 crystal (GGA-PBE, OQMD).

Cell lengths 6.633, 6.633, 7.201 Å; angles 90.01, 90.01, 60.00 degrees
Atoms (fractional coordinates):
S1 0.824 0.824 0.679
S2 0.824 0.351 0.679
S3 0.351 0.824 0.679
S4 0.176 0.649 0.321
S5 0.667 0.667 0.107
P1 0.667 0.667 0.837
S6 0.649 0.176 0.321
Fe1 0.500 0.500 0.500
S7 0.176 0.176 0.321
P2 0.333 0.333 0.163
Fe2 0.000 0.500 0.500
S8 0.333 0.333 0.893
Fe3 0.500 0.000 0.500

Properties
The total DFT energy (no corrections) is -70.9 eV/cell. The size of the total moment comes out at 6.00 μB/f.u.

***

(12)
# FePS4

A relaxed FePS4 crystal (GGA-PBE, OQMD).

Cell lengths 6.381, 6.381, 8.275 Å; angles 90.00, 90.00, 90.00 degrees
Atoms (fractional coordinates):
Fe1 0.000 0.000 0.585
S1 0.742 0.770 0.585
S2 0.258 0.770 0.585
P1 0.000 0.500 0.085
Fe2 0.000 0.000 0.085
P2 0.500 0.000 0.585
S3 0.742 0.230 0.585
S4 0.230 0.742 0.085
S5 0.770 0.258 0.085
S6 0.230 0.258 0.085
S7 0.258 0.230 0.585
S8 0.770 0.742 0.085

Properties
The total DFT energy (no corrections) is -59.4 eV/cell. The size of the total moment comes out at 2.81 μB/f.u.

***

(13)
# FePS4

A relaxed FePS4 crystal (GGA-PBE, OQMD).

Cell lengths 6.305, 6.533, 6.896 Å; angles 91.04, 106.67, 91.95 degrees
Atoms (fractional coordinates):
S1 0.564 0.345 0.782
S2 0.122 0.217 0.376
S3 0.436 0.655 0.218
P1 0.732 0.820 0.319
P2 0.268 0.180 0.681
S4 0.878 0.783 0.624
Fe1 0.723 0.075 0.681
Fe2 0.277 0.925 0.319
S5 0.058 0.244 0.847
S6 0.401 0.890 0.688
S7 0.599 0.110 0.312
S8 0.942 0.756 0.153

Properties
The total DFT energy (no corrections) is -63.0 eV/cell. The size of the total moment comes out at 3.00 μB/f.u.

***

(14)
# FeSbP

A relaxed FeSbP crystal (GGA-PBE, OQMD).

Cell lengths 5.474, 2.982, 6.115 Å; angles 90.00, 95.10, 90.00 degrees
Atoms (fractional coordinates):
Fe1 0.000 0.000 0.000
P1 0.190 0.000 0.359
Sb1 0.303 0.500 0.844
Fe2 0.500 0.500 0.500
Sb2 0.697 0.500 0.156
P2 0.810 0.000 0.641

Properties
The total DFT energy (no corrections) is -35.8 eV/cell. The size of the total moment comes out at 0.00 μB/f.u.

***

(15)
# Sr2FeSbP

A relaxed Sr2FeSbP crystal (GGA-PBE, OQMD).

Cell lengths 8.325, 8.325, 8.008 Å; angles 90.00, 90.00, 149.93 degrees
Atoms (fractional coordinates):
Sb1 0.572 0.428 0.568
Sr1 0.038 0.962 0.270
P1 0.152 0.848 0.978
Sr2 0.772 0.228 0.135
Sb2 0.428 0.572 0.068
Sr3 0.962 0.038 0.770
P2 0.848 0.152 0.478
Sr4 0.228 0.772 0.635
Fe1 0.594 0.406 0.915
Fe2 0.406 0.594 0.415

Properties
The total DFT energy (no corrections) is -48.7 eV/cell. The size of the total moment comes out at 3.55 μB/f.u.

***

(16)
# ScFe6P4

A relaxed ScFe6P4 crystal (GGA-PBE, OQMD).

Cell lengths 6.482, 6.482, 3.440 Å; angles 90.00, 90.00, 120.00 degrees
Atoms (fractional coordinates):
P1 0.333 0.667 0.000
Fe1 0.597 0.798 0.500
P2 0.813 0.625 0.500
Fe2 0.537 0.463 0.000
Fe3 0.202 0.798 0.500
P3 0.812 0.187 0.500
P4 0.375 0.188 0.500
Fe4 0.537 0.074 0.000
Fe5 0.202 0.403 0.500
Sc1 0.000 0.000 0.000
Fe6 0.926 0.463 0.000

Properties
The total DFT energy (no corrections) is -85.8 eV/cell. The size of the total moment comes out at 0.01 μB/f.u.

***

(17)
# Fe2P3Se

A relaxed Fe2P3Se crystal (GGA-PBE, OQMD).

Cell lengths 4.942, 2.913, 5.687 Å; angles 90.00, 90.41, 90.00 degrees
Atoms (fractional coordinates):
Se1 0.325 0.500 0.869
P1 0.824 0.000 0.626
P2 0.172 0.000 0.368
Fe1 0.501 0.500 0.491
P3 0.691 0.500 0.145
Fe2 0.988 0.000 0.002

Properties
The total DFT energy (no corrections) is -38.9 eV/cell. The size of the total moment comes out at 0.99 μB/f.u.

***

(18)
# Fe3P2Se8

A relaxed Fe3P2Se8 crystal (GGA-PBE, OQMD).

Cell lengths 7.421, 7.421, 6.274 Å; angles 90.09, 90.09, 59.93 degrees
Atoms (fractional coordinates):
P1 0.667 0.667 0.894
Se1 0.666 0.666 0.253
Se2 0.643 0.178 0.293
Se3 0.822 0.357 0.707
Se4 0.178 0.178 0.292
Se5 0.334 0.334 0.747
Se6 0.178 0.643 0.293
Se7 0.357 0.822 0.707
Fe1 0.500 0.000 0.500
Fe2 0.000 0.500 0.500
P2 0.333 0.333 0.106
Fe3 0.500 0.500 0.500
Se8 0.822 0.822 0.708

Properties
The total DFT energy (no corrections) is -64.5 eV/cell. The size of the total moment comes out at 6.01 μB/f.u.

***

(19)
# TmFe2SiP

A relaxed TmFe2SiP crystal (GGA-PBE, OQMD).

Cell lengths 5.409, 5.409, 5.409 Å; angles 138.22, 138.22, 60.56 degrees
Atoms (fractional coordinates):
Fe1 0.753 0.253 0.500
Si1 0.628 0.628 0.000
Fe2 0.253 0.753 0.500
Tm1 0.999 0.999 0.000
P1 0.367 0.367 0.000

Properties
The total DFT energy (no corrections) is -36.4 eV/cell. The size of the total moment comes out at 0.01 μB/f.u.

***

(20)
# ZrFe2SiP

A relaxed ZrFe2SiP crystal (GGA-PBE, OQMD).

Cell lengths 5.343, 5.343, 5.343 Å; angles 138.58, 138.58, 60.02 degrees
Atoms (fractional coordinates):
Fe1 0.747 0.247 0.500
Zr1 0.001 0.001 0.000
Si1 0.376 0.376 0.000
P1 0.630 0.630 0.000
Fe2 0.247 0.747 0.500

Properties
The total DFT energy (no corrections) is -40.1 eV/cell. The size of the total moment comes out at 0.01 μB/f.u.